BeCrCl2 | PBE-GGA | optimized geometry

Geometry as POSCAR:
```
BeCrCl2
1.0
-1.486 -0.156 -2.860
1.865 -5.579 -0.664
-3.109 -1.239 1.683
Cr Be Cl
1 1 2
direct
0.500 0.000 0.500 Cr
0.000 0.500 0.500 Be
0.000 0.000 0.000 Cl
0.500 0.500 0.000 Cl
```

The raw formation energy is 0.22 eV per atom. Its total magnetic moment is 4.09 Bohr magnetons per cell. The calculation puts the excess energy over the best structure of this formula in the dataset at 0.5452 eV/atom.

BeCr2Cl | PBE-GGA | optimized geometry

Geometry as POSCAR:
```
BeCr2Cl
1.0
-2.030 -1.232 2.469
2.679 -0.143 2.131
-1.311 7.180 4.882
Cr Be Cl
4 2 2
direct
0.624 0.125 0.250 Cr
0.126 0.625 0.250 Cr
0.375 0.376 0.750 Cr
0.875 0.874 0.750 Cr
0.500 0.500 0.000 Be
0.250 0.750 0.500 Be
0.000 0.000 0.000 Cl
0.750 0.250 0.500 Cl
```

The raw formation energy is 0.82 eV per atom. Its total magnetic moment is 0.00 Bohr magnetons per cell. The calculation puts the excess energy over the best structure of this formula in the dataset at 0.5339 eV/atom.

BeCrCl | PBE-GGA | optimized geometry

Geometry as POSCAR:
```
BeCrCl
1.0
-0.953 -0.438 4.165
-3.626 -1.980 1.177
0.171 -3.875 1.846
Cr Be Cl
1 1 1
direct
0.500 0.500 0.500 Cr
0.750 0.750 0.750 Be
0.000 0.000 0.000 Cl
```

The raw formation energy is 1.01 eV per atom. Its total magnetic moment is 4.48 Bohr magnetons per cell. The calculation puts the excess energy over the best structure of this formula in the dataset at 0.7214 eV/atom.

BeCr2Cl | PBE-GGA | optimized geometry

Geometry as POSCAR:
```
BeCr2Cl
1.0
-2.589 -1.369 -2.509
0.329 -3.009 -2.389
-1.071 -1.447 6.292
Cr Be Cl
2 1 1
direct
0.111 0.111 0.859 Cr
0.389 0.389 0.641 Cr
0.750 0.750 0.750 Be
0.250 0.250 0.250 Cl
```

The raw formation energy is 0.32 eV per atom. Its total magnetic moment is 0.00 Bohr magnetons per cell. The calculation puts the excess energy over the best structure of this formula in the dataset at 0.0409 eV/atom.

BeCrCl2 | PBE-GGA | optimized geometry

Geometry as POSCAR:
```
BeCrCl2
1.0
3.250 0.000 0.000
0.000 3.328 -0.050
0.000 0.651 6.458
Cr Be Cl
1 1 2
direct
0.500 0.250 0.250 Cr
0.500 0.750 0.750 Be
0.000 0.727 0.990 Cl
0.000 0.773 0.510 Cl
```

The raw formation energy is 0.16 eV per atom. Its total magnetic moment is 4.22 Bohr magnetons per cell. The calculation puts the excess energy over the best structure of this formula in the dataset at 0.4853 eV/atom.

BeCrCl | PBE-GGA | optimized geometry

Geometry as POSCAR:
```
BeCrCl
1.0
4.036 0.000 0.000
-2.018 3.495 0.000
0.000 0.000 3.051
Cr Be Cl
1 1 1
direct
0.667 0.333 0.500 Cr
0.000 0.000 0.000 Be
0.333 0.667 0.500 Cl
```

The raw formation energy is 0.70 eV per atom. Its total magnetic moment is 2.89 Bohr magnetons per cell. The calculation puts the excess energy over the best structure of this formula in the dataset at 0.4105 eV/atom.

BeCrCl2 | PBE-GGA | optimized geometry

Geometry as POSCAR:
```
BeCrCl2
1.0
-3.111 -0.133 -0.515
0.847 -2.479 -4.473
0.035 -5.392 1.180
Cr Be Cl
1 1 2
direct
0.000 0.537 0.511 Cr
0.500 0.851 0.678 Be
0.000 0.873 0.915 Cl
0.500 0.239 0.396 Cl
```

The raw formation energy is -0.32 eV per atom. Its total magnetic moment is 4.02 Bohr magnetons per cell. The calculation puts the excess energy over the best structure of this formula in the dataset at 0.0057 eV/atom.

BeCr2Cl | PBE-GGA | optimized geometry

Geometry as POSCAR:
```
BeCr2Cl
1.0
4.808 0.003 0.004
1.621 4.527 -0.004
-2.434 -3.373 2.412
Cr Be Cl
2 1 1
direct
0.005 0.005 0.000 Cr
0.495 0.495 0.000 Cr
0.750 0.250 0.500 Be
0.250 0.750 0.500 Cl
```

The raw formation energy is 0.74 eV per atom. Its total magnetic moment is 4.06 Bohr magnetons per cell. The calculation puts the excess energy over the best structure of this formula in the dataset at 0.4622 eV/atom.